Entry 1:
The following is a PBE calculation of a geometry-optimized Pm4SbTePb2 structure, from the Alexandria database.

E_form (uncorrected) (eV per formula unit): -7.320

CIF file:
```
data_Pm4SbTePb2
_chemical_formula_sum 'Pm4 Sb1 Te1 Pb2'
_symmetry_space_group_name_H-M 'P 1 2/m 1'
_symmetry_Int_Tables_number 10
_symmetry_space_group_name_Hall '-P 2y'
_cell_length_a 7.678
_cell_length_b 4.441
_cell_length_c 8.063
_cell_angle_alpha 90.00
_cell_angle_beta 108.65
_cell_angle_gamma 90.00
loop_
_atom_site_label
_atom_site_type_symbol
_atom_site_fract_x
_atom_site_fract_y
_atom_site_fract_z
_atom_site_occupancy
Pm1 Pm 0.245 0.000 0.244 1
Pm2 Pm 0.247 0.500 0.752 1
Sb1 Sb 0.000 0.500 0.000 1
Te1 Te 0.500 0.000 0.000 1
Pb1 Pb 0.000 0.000 0.500 1
Pb2 Pb 0.500 0.500 0.500 1
```

Entry 2:
The following is a PBE calculation of a geometry-optimized BeInW2 structure, from the Alexandria database.

Energy relative to the elements (eV per atom): 0.47
E above lowest polymorph (kJ/mol of formula units): 46

CIF file:
```
data_BeInW2
_chemical_formula_sum 'Be1 In1 W2'
_symmetry_space_group_name_H-M 'P 4/m m m'
_symmetry_Int_Tables_number 123
_symmetry_space_group_name_Hall '-P 4 2'
_cell_length_a 2.979
_cell_length_b 2.979
_cell_length_c 7.021
_cell_angle_alpha 90.00
_cell_angle_beta 90.00
_cell_angle_gamma 90.00
loop_
_atom_site_label
_atom_site_type_symbol
_atom_site_fract_x
_atom_site_fract_y
_atom_site_fract_z
_atom_site_occupancy
Be1 Be 0.000 0.000 0.000 1
In1 In 0.000 0.000 0.500 1
W1 W 0.500 0.500 0.183 1
```

Entry 3:
The following is a PBE calculation of a geometry-optimized Na2CoPt2S6 structure, from the Alexandria database.

E_form (uncorrected) (eV per formula unit): -5.963

CIF file:
```
data_Na2CoPt2S6
_chemical_formula_sum 'Na4 Co2 Pt4 S12'
_symmetry_space_group_name_H-M 'C 1 2/m 1'
_symmetry_Int_Tables_number 12
_symmetry_space_group_name_Hall '-C 2y'
_cell_length_a 6.187
_cell_length_b 10.655
_cell_length_c 6.911
_cell_angle_alpha 90.00
_cell_angle_beta 108.56
_cell_angle_gamma 90.00
loop_
_atom_site_label
_atom_site_type_symbol
_atom_site_fract_x
_atom_site_fract_y
_atom_site_fract_z
_atom_site_occupancy
Na1 Na 0.000 0.171 0.000 1
Co1 Co 0.000 0.000 0.500 1
Pt1 Pt 0.000 0.332 0.500 1
S1 S 0.224 0.160 0.685 1
S2 S 0.249 0.500 0.681 1
```

Entry 4:
The following is a PBE calculation of a geometry-optimized Ac2Dy2Sn structure, from the Alexandria database.

Energy relative to the elements (eV per atom): 0.10

CIF file:
```
data_Ac2Dy2Sn
_chemical_formula_sum 'Ac4 Dy4 Sn2'
_symmetry_space_group_name_H-M 'I 4/m m m'
_symmetry_Int_Tables_number 139
_symmetry_space_group_name_Hall '-I 4 2'
_cell_length_a 4.405
_cell_length_b 4.405
_cell_length_c 19.713
_cell_angle_alpha 90.00
_cell_angle_beta 90.00
_cell_angle_gamma 90.00
loop_
_atom_site_label
_atom_site_type_symbol
_atom_site_fract_x
_atom_site_fract_y
_atom_site_fract_z
_atom_site_occupancy
Ac1 Ac 0.000 0.000 0.088 1
Dy1 Dy 0.000 0.500 0.250 1
Sn1 Sn 0.000 0.000 0.500 1
```

Entry 5:
The following is a PBE calculation of a geometry-optimized La5Sm4Sc2 structure, from the Alexandria database.

Energy relative to the elements (eV per atom): 0.15

CIF file:
```
data_La5Sm4Sc2
_chemical_formula_sum 'La10 Sm8 Sc4'
_symmetry_space_group_name_H-M 'C 1 2/m 1'
_symmetry_Int_Tables_number 12
_symmetry_space_group_name_Hall '-C 2y'
_cell_length_a 24.382
_cell_length_b 3.605
_cell_length_c 9.111
_cell_angle_alpha 90.00
_cell_angle_beta 108.06
_cell_angle_gamma 90.00
loop_
_atom_site_label
_atom_site_type_symbol
_atom_site_fract_x
_atom_site_fract_y
_atom_site_fract_z
_atom_site_occupancy
La1 La 0.000 0.000 0.000 1
La2 La 0.128 0.500 0.962 1
La3 La 0.167 0.500 0.411 1
Sm1 Sm 0.015 0.500 0.331 1
Sm2 Sm 0.231 0.000 0.807 1
Sc1 Sc 0.095 0.000 0.628 1
```

Entry 6:
The following is a PBE calculation of a geometry-optimized Ac4Si2Br3 structure, from the Alexandria database.

E_form (uncorrected) (eV per formula unit): -8.915
E above lowest polymorph (kJ/mol of formula units): 217

CIF file:
```
data_Ac4Si2Br3
_chemical_formula_sum 'Ac16 Si8 Br12'
_symmetry_space_group_name_H-M 'C 1 2/c 1'
_symmetry_Int_Tables_number 15
_symmetry_space_group_name_Hall '-C 2yc'
_cell_length_a 15.393
_cell_length_b 14.872
_cell_length_c 6.307
_cell_angle_alpha 90.00
_cell_angle_beta 93.63
_cell_angle_gamma 90.00
loop_
_atom_site_label
_atom_site_type_symbol
_atom_site_fract_x
_atom_site_fract_y
_atom_site_fract_z
_atom_site_occupancy
Ac1 Ac 0.119 0.219 0.499 1
Ac2 Ac 0.198 0.405 0.961 1
Si1 Si 0.220 0.393 0.458 1
Br1 Br 0.000 0.372 0.750 1
Br2 Br 0.103 0.174 0.005 1
```

Entry 7:
The following is a PBE calculation of a geometry-optimized Pu3Sb2Au4 structure, from the Alexandria database.

E_form (uncorrected) (eV per formula unit): -4.637

CIF file:
```
data_Pu3Sb2Au4
_chemical_formula_sum 'Pu6 Sb4 Au8'
_symmetry_space_group_name_H-M 'C 1 2/m 1'
_symmetry_Int_Tables_number 12
_symmetry_space_group_name_Hall '-C 2y'
_cell_length_a 10.916
_cell_length_b 4.826
_cell_length_c 9.148
_cell_angle_alpha 90.00
_cell_angle_beta 119.31
_cell_angle_gamma 90.00
loop_
_atom_site_label
_atom_site_type_symbol
_atom_site_fract_x
_atom_site_fract_y
_atom_site_fract_z
_atom_site_occupancy
Pu1 Pu 0.000 0.000 0.000 1
Pu2 Pu 0.161 0.500 0.674 1
Sb1 Sb 0.117 0.500 0.281 1
Au1 Au 0.070 0.000 0.409 1
Au2 Au 0.216 0.500 0.045 1
```

Entry 8:
The following is a PBE calculation of a geometry-optimized Lu2HfNi structure, from the Alexandria database.

Energy relative to the elements (eV per atom): -0.16

CIF file:
```
data_Lu2HfNi
_chemical_formula_sum 'Lu2 Hf1 Ni1'
_symmetry_space_group_name_H-M 'P 4/m m m'
_symmetry_Int_Tables_number 123
_symmetry_space_group_name_Hall '-P 4 2'
_cell_length_a 3.324
_cell_length_b 3.324
_cell_length_c 7.811
_cell_angle_alpha 90.00
_cell_angle_beta 90.00
_cell_angle_gamma 90.00
loop_
_atom_site_label
_atom_site_type_symbol
_atom_site_fract_x
_atom_site_fract_y
_atom_site_fract_z
_atom_site_occupancy
Lu1 Lu 0.000 0.000 0.208 1
Hf1 Hf 0.500 0.500 0.500 1
Ni1 Ni 0.500 0.500 0.000 1
```